No. 1
Below is CdAsPt2 after structural relaxation, with properties calculated at the GGA-PBE level.

```
CdAsPt2
1.0
3.072 0.000 0.000
0.000 3.276 0.000
0.000 0.000 6.861
Cd As Pt
1 1 2
Cartesian
0.000 0.000 0.000 Cd
0.000 0.000 3.431 As
1.536 1.638 1.895 Pt
1.536 1.638 4.966 Pt
```

Summary:
- SG: Pmmm
- Excess energy over the best structure of this formula in the dataset: 57.8 kJ/mol of formula units
- Formation energy: -0.72 eV per formula unit

=====

No. 2
Below is CdAsPt2 after structural relaxation, with properties calculated at the GGA-PBE level.

```
CdAsPt2
1.0
4.791 0.000 0.000
0.000 4.791 0.000
0.000 0.000 3.020
Cd As Pt
1 1 2
Cartesian
0.000 0.000 0.000 Cd
2.396 2.396 0.000 As
0.000 2.396 1.510 Pt
2.396 0.000 1.510 Pt
```

Summary:
- SG: P4/mmm
- Excess energy over the best structure of this formula in the dataset: 83.1 kJ/mol of formula units
- Formation energy: -0.46 eV per formula unit

=====

No. 3
Below is CdAs2Pt2 after structural relaxation, with properties calculated at the GGA-PBE level.

```
CdAs2Pt2
1.0
-2.332 2.332 4.516
2.332 -2.332 4.516
2.332 2.332 -4.516
Cd As Pt
1 2 2
Cartesian
0.000 0.000 0.000 Cd
0.000 0.000 3.253 As
0.000 0.000 5.779 As
2.332 0.000 2.258 Pt
0.000 2.332 2.258 Pt
```

Summary:
- SG: I4/mmm
- Excess energy over the best structure of this formula in the dataset: 0.0 kJ/mol of formula units
- Formation energy: -0.44 eV per formula unit

=====

No. 4
Below is CdAs2Pt after structural relaxation, with properties calculated at the GGA-PBE level.

```
CdAs2Pt
1.0
0.000 3.360 3.360
3.360 0.000 3.360
3.360 3.360 0.000
Cd As Pt
1 2 1
Cartesian
0.000 0.000 0.000 Cd
1.680 1.680 1.680 As
3.360 3.360 3.360 As
5.040 5.040 5.040 Pt
```

Summary:
- SG: F-43m
- Formation energy: 0.83 eV per formula unit

=====

No. 5
Below is Cd2AsPt2 after structural relaxation, with properties calculated at the GGA-PBE level.

```
Cd2AsPt2
1.0
6.746 0.000 0.000
0.000 6.746 0.000
0.000 0.000 4.191
Cd As Pt
4 2 4
Cartesian
1.049 2.324 0.000 Cd
2.324 5.697 0.000 Cd
4.423 1.049 0.000 Cd
5.697 4.423 0.000 Cd
0.000 0.000 2.095 As
3.373 3.373 2.095 As
1.014 4.387 2.095 Pt
2.359 1.014 2.095 Pt
4.387 5.732 2.095 Pt
5.732 2.359 2.095 Pt
```

Summary:
- SG: P4/mbm
- Formation energy: -0.82 eV per formula unit

=====

No. 6
Below is CdAsPt after structural relaxation, with properties calculated at the GGA-PBE level.

```
CdAsPt
1.0
4.284 0.000 0.000
-2.142 3.710 0.000
0.000 0.000 3.736
Cd As Pt
1 1 1
Cartesian
0.000 0.000 0.000 Cd
0.000 2.473 1.868 As
2.142 1.237 1.868 Pt
```

Summary:
- SG: P-6m2
- Excess energy over the best structure of this formula in the dataset: 47.9 kJ/mol of formula units
- Formation energy: -0.31 eV per formula unit

=====

No. 7
Below is CdAsPt2 after structural relaxation, with properties calculated at the GGA-PBE level.

```
CdAsPt2
1.0
4.735 0.000 0.000
0.000 3.039 0.000
-2.020 0.000 4.820
Cd As Pt
1 1 2
Cartesian
0.000 0.000 0.000 Cd
-1.010 1.519 2.410 As
1.357 0.000 2.410 Pt
2.368 1.519 0.000 Pt
```

Summary:
- SG: P2/m
- Excess energy over the best structure of this formula in the dataset: 102.4 kJ/mol of formula units
- Formation energy: -0.26 eV per formula unit

=====

No. 8
Below is RbCd2AsPt after structural relaxation, with properties calculated at the GGA-PBE level.

```
RbCd2AsPt
1.0
5.321 0.000 0.000
0.000 5.321 0.000
0.000 0.000 5.024
Rb Cd As Pt
1 2 1 1
Cartesian
0.000 0.000 0.000 Rb
0.000 2.661 2.512 Cd
2.661 0.000 2.512 Cd
2.661 2.661 0.000 As
2.661 2.661 2.512 Pt
```

Summary:
- SG: P4/mmm
- Formation energy: -0.67 eV per formula unit

=====

No. 9
Below is Cd2AsPtS after structural relaxation, with properties calculated at the GGA-PBE level.

```
Cd2AsPtS
1.0
4.874 0.000 0.000
0.000 4.874 0.000
0.000 0.000 4.852
Cd As Pt S
2 1 1 1
Cartesian
0.000 2.437 0.000 Cd
2.437 0.000 0.000 Cd
0.000 0.000 2.426 As
2.437 2.437 2.426 Pt
0.000 0.000 0.000 S
```

Summary:
- SG: P4/mmm
- Excess energy over the best structure of this formula in the dataset: 234.8 kJ/mol of formula units

=====

No. 10
Below is Cd2AsPtS after structural relaxation, with properties calculated at the GGA-PBE level.

```
Cd2AsPtS
1.0
5.301 0.000 0.000
0.000 5.301 0.000
0.000 0.000 4.533
Cd As Pt S
2 1 1 1
Cartesian
0.000 2.651 0.000 Cd
2.651 0.000 0.000 Cd
0.000 0.000 2.267 As
0.000 0.000 0.000 Pt
2.651 2.651 2.267 S
```

Summary:
- SG: P4/mmm
- Excess energy over the best structure of this formula in the dataset: 0.0 kJ/mol of formula units

=====

No. 11
Below is CdAsPtSe2 after structural relaxation, with properties calculated at the GGA-PBE level.

```
CdAsPtSe2
1.0
5.111 0.000 0.000
0.000 5.111 0.000
0.000 0.000 5.071
Cd As Pt Se
1 1 1 2
Cartesian
0.000 0.000 0.000 Cd
0.000 0.000 2.535 As
2.555 2.555 2.535 Pt
0.000 2.555 0.000 Se
2.555 0.000 0.000 Se
```

Summary:
- SG: P4/mmm
- Excess energy over the best structure of this formula in the dataset: 425.7 kJ/mol of formula units

=====

No. 12
Below is CdAsPtSe2 after structural relaxation, with properties calculated at the GGA-PBE level.

```
CdAsPtSe2
1.0
5.049 0.000 0.000
0.000 5.049 0.000
0.000 0.000 4.965
Cd As Pt Se
1 1 1 2
Cartesian
0.000 0.000 0.000 Cd
0.000 0.000 2.482 As
2.524 2.524 0.000 Pt
0.000 2.524 2.482 Se
2.524 0.000 2.482 Se
```

Summary:
- SG: P4/mmm
- Excess energy over the best structure of this formula in the dataset: 250.8 kJ/mol of formula units

=====

| no. | Fermi-level density of states (states/eV per cell) | V (Å³ per cell) |
| --- | --- | --- |
| 1 | 0.956 | 69.1 |
| 2 | 1.799 | 69.3 |
| 3 | 1.956 | 98.2 |
| 4 | 2.594 | 75.9 |
| 5 | 4.881 | 190.7 |
| 6 | 1.108 | 59.4 |
| 7 | 2.529 | 69.3 |
| 8 | 3.925 | 142.3 |
| 9 | 2.163 | 115.3 |
| 10 | 3.947 | 127.4 |
| 11 | 7.660 | 132.4 |
| 12 | 6.871 | 126.6 |